{"formula": "Ir2Pd3S2", "functional": "GGA-PBE", "state": "relaxed", "sg": "No. 199", "magmom_total_mub_per_cell": 0.0, "dft_energy_ev_per_atom": -5.571, "lattice": [[5.301, -3.038, 3.042], [-4.201, 2.531, 4.746], [-3.356, -4.561, -3.810]], "species": ["Ir", "Ir", "Ir", "Ir", "Pd", "Pd", "Pd", "Pd", "Pd", "Pd", "S", "S", "S", "S"], "frac_coords": [[0.000, 0.621, 0.500], [0.621, 0.500, 0.000], [0.879, 0.879, 0.879], [0.500, 0.000, 0.621], [0.226, 0.750, 0.976], [0.524, 0.274, 0.250], [0.250, 0.524, 0.274], [0.976, 0.226, 0.750], [0.274, 0.250, 0.524], [0.750, 0.976, 0.226], [0.000, 0.933, 0.500], [0.500, 0.000, 0.933], [0.567, 0.567, 0.567], [0.933, 0.500, 0.000]]}


{"formula": "FeSn2Ge", "functional": "GGA-PBE", "state": "relaxed", "sg": "No. 216", "magmom_total_mub_per_cell": 2.3, "dft_energy_ev_per_atom": -4.691, "lattice": [[0.000, 3.400, 3.400], [3.400, 0.000, 3.400], [3.400, 3.400, 0.000]], "species": ["Ge", "Sn", "Sn", "Fe"], "frac_coords": [[0.500, 0.500, 0.500], [0.000, 0.000, 0.000], [0.750, 0.750, 0.750], [0.250, 0.250, 0.250]]}


{"formula": "NdSmCu2Pb", "functional": "GGA-PBE", "state": "relaxed", "sg": "No. 38", "magmom_total_mub_per_cell": 0.0, "dft_energy_ev_per_atom": -4.481, "lattice": [[-2.821, -2.427, 0.411], [4.598, -5.633, -1.703], [4.778, -5.112, 2.609]], "species": ["Sm", "Cu", "Cu", "Nd", "Pb"], "frac_coords": [[0.000, 0.633, 0.633], [0.500, 0.204, 0.204], [0.500, 0.794, 0.794], [0.000, 0.368, 0.368], [0.500, 0.001, 0.001]]}


{"formula": "Zn2Pb", "functional": "GGA-PBE", "state": "relaxed", "sg": "No. 11", "dft_energy_ev_per_atom": -1.956, "lattice": [[-8.506, -3.649, -11.182], [3.612, -4.739, -5.211], [-1.557, -3.883, 2.452]], "species": ["Pb", "Pb", "Pb", "Pb", "Pb", "Pb", "Pb", "Pb", "Zn", "Zn", "Zn", "Zn", "Zn", "Zn", "Zn", "Zn", "Zn", "Zn", "Zn", "Zn", "Zn", "Zn", "Zn", "Zn"], "frac_coords": [[0.828, 0.041, 0.500], [0.201, 0.335, 0.500], [0.815, 0.763, 0.000], [0.379, 0.598, 0.500], [0.436, 0.987, 0.500], [0.993, 0.026, 0.000], [0.367, 0.320, 0.000], [0.759, 0.374, 0.000], [0.614, 0.582, 0.500], [0.811, 0.540, 0.500], [0.102, 0.760, 0.500], [0.194, 0.968, 0.500], [0.198, 0.110, 0.000], [0.603, 0.099, 0.000], [0.653, 0.892, 0.500], [0.581, 0.780, 0.000], [0.541, 0.470, 0.000], [0.383, 0.822, 0.000], [0.978, 0.604, 0.500], [0.591, 0.262, 0.500], [0.996, 0.250, 0.500], [0.092, 0.601, 0.000], [0.000, 0.392, 0.000], [0.216, 0.757, 0.000]]}


{"formula": "PrGdSi2Sn", "functional": "GGA-PBE", "state": "relaxed", "sg": "No. 44", "magmom_total_mub_per_cell": 0.0, "dft_energy_ev_per_atom": -5.541, "lattice": [[3.406, -4.581, -1.016], [-1.045, -2.930, 4.893], [-3.090, 1.800, -4.564]], "species": ["Si", "Si", "Sn", "Pr", "Gd"], "frac_coords": [[0.193, 0.501, 0.691], [0.810, 0.501, 0.309], [0.497, 0.997, 0.500], [0.783, 0.783, 0.000], [0.217, 0.217, 0.000]]}


{"formula": "Sc4InNiC2", "functional": "GGA-PBE", "state": "relaxed", "sg": "No. 187", "magmom_total_mub_per_cell": 0.0, "dft_energy_ev_per_atom": -6.946, "lattice": [[3.345, 0.000, 0.000], [-1.673, 2.897, 0.000], [0.000, 0.000, 13.990]], "species": ["C", "C", "Sc", "Sc", "Sc", "Sc", "In", "Ni"], "frac_coords": [[0.333, 0.667, 0.274], [0.333, 0.667, 0.726], [0.667, 0.333, 0.188], [0.667, 0.333, 0.812], [0.000, 0.000, 0.636], [0.000, 0.000, 0.364], [0.000, 0.000, 0.000], [0.667, 0.333, 0.500]]}


{"formula": "ZrCuAgGe", "functional": "GGA-PBE", "state": "relaxed", "sg": "No. 216", "magmom_total_mub_per_cell": 0.0, "dft_energy_ev_per_atom": -4.908, "polymorph_energy_mev_per_atom": 118.5, "lattice": [[4.536, -0.818, 0.226], [1.548, -3.906, 1.908], [1.890, -3.272, -2.650]], "species": ["Zr", "Cu", "Ag", "Ge"], "frac_coords": [[0.500, 0.500, 0.500], [0.750, 0.750, 0.750], [0.250, 0.250, 0.250], [0.000, 0.000, 0.000]]}


{"formula": "HoNpAl", "functional": "GGA-PBE", "state": "relaxed", "sg": "No. 216", "magmom_total_mub_per_cell": 4.9, "dft_energy_ev_per_atom": -6.173, "lattice": [[1.830, -4.339, 0.457], [1.490, -1.505, 4.231], [-2.414, -3.355, 2.302]], "species": ["Ho", "Np", "Al"], "frac_coords": [[0.000, 0.000, 0.000], [0.750, 0.750, 0.750], [0.250, 0.250, 0.250]]}


{"formula": "Nd3Er3NiTe2", "functional": "GGA-PBE", "state": "relaxed", "sg": "No. 189", "magmom_total_mub_per_cell": 0.0, "dft_energy_ev_per_atom": -5.175, "polymorph_energy_mev_per_atom": 0.0, "lattice": [[-1.200, -0.375, -8.377], [-0.503, -7.049, 4.671], [-3.927, 0.634, 0.534]], "species": ["Te", "Te", "Nd", "Nd", "Nd", "Er", "Er", "Er", "Ni"], "frac_coords": [[0.667, 0.333, 0.500], [0.333, 0.667, 0.500], [0.000, 0.405, 0.000], [0.405, 0.000, 0.000], [0.595, 0.595, 0.000], [0.767, 0.000, 0.500], [0.233, 0.233, 0.500], [0.000, 0.767, 0.500], [0.000, 0.000, 0.000]]}


Question: What is the formula in the third record?
Answer: NdSmCu2Pb


Question: Number 2 is which compound?
Answer: FeSn2Ge